(1)
# TbNdDy4

A relaxed structure of TbNdDy4 (PBE, Alexandria via LeMat-Bulk).

a b c (Å): 5.0340 7.9804 11.2906
angles (deg): 148.08 89.93 108.44
Last column: nearest neighbours and their distance in Å.
Element x y z (fractional)
1 Tb 0.0000 0.0000 0.0000  10 Dy 3.56-3.57, 2 Nd 3.57
2 Nd 0.5000 0.9999 0.5000  10 Dy 3.57-3.58, 2 Tb 3.57
3 Dy 0.8329 0.6660 0.5009  7 Dy 3.54-3.58, 3 Tb 3.56-3.57, 2 Nd 3.57-3.58
4 Dy 0.1671 0.3340 0.4991  7 Dy 3.54-3.58, 3 Tb 3.56-3.57, 2 Nd 3.57-3.58
5 Dy 0.3340 0.6683 0.0006  7 Dy 3.56-3.58, 2 Tb 3.56, 3 Nd 3.57
6 Dy 0.6660 0.3317 0.9994  7 Dy 3.56-3.58, 2 Tb 3.56, 3 Nd 3.57

Polymorph energy (0 for the lowest one) = 0.0 kJ/mol of atoms
Space group = No. 2



(2)
# Tb3Nd7Dy2

A relaxed structure of Tb3Nd7Dy2 (PBE, Alexandria via LeMat-Bulk).

a b c (Å): 5.5795 6.2853 12.3397
angles (deg): 90.93 90.00 90.00
Last column: nearest neighbours and their distance in Å.
Element x y z (fractional)
1 Tb 0.5000 0.5000 0.0000  6 Nd 3.35-3.62, 2 Dy 3.49
2 Tb 0.0000 0.9339 0.3417  2 Dy 3.51, 6 Nd 3.62-3.77
3 Tb 0.0000 0.0661 0.6583  2 Dy 3.51, 6 Nd 3.62-3.77
4 Nd 0.5000 0.2439 0.4529  2 Dy 3.22-3.42, 3 Nd 3.30-3.60
5 Nd 0.5000 0.7561 0.5471  2 Dy 3.22-3.42, 3 Nd 3.30-3.60
6 Nd 0.0000 0.4433 0.1844  2 Dy 3.21, 3 Nd 3.57
7 Nd 0.0000 0.0000 0.0000  6 Nd 3.53-3.57
8 Nd 0.0000 0.5567 0.8156  2 Dy 3.21, 3 Nd 3.57
9 Nd 0.5000 0.9100 0.8295  2 Dy 3.27-3.55, 3 Tb 3.35-3.64, 5 Nd 3.53-3.60
10 Nd 0.5000 0.0900 0.1705  2 Dy 3.27-3.55, 3 Tb 3.35-3.64, 5 Nd 3.53-3.60
11 Dy 0.5000 0.6181 0.2777  6 Nd 3.21-3.55, 3 Tb 3.49-3.51
12 Dy 0.5000 0.3819 0.7223  6 Nd 3.21-3.55, 3 Tb 3.49-3.51

Polymorph energy (0 for the lowest one) = 2.3 kJ/mol of atoms
Space group = No. 10



(3)
# Tb2NdDy

A relaxed structure of Tb2NdDy (PBE, Alexandria via LeMat-Bulk).

a b c (Å): 3.5852 3.5852 11.8770
angles (deg): 81.32 81.32 60.00
Last column: nearest neighbours and their distance in Å.
Element x y z (fractional)
1 Nd 0.0000 0.0000 0.0000  6 Nd 3.59, 6 Tb 3.62
2 Tb 0.7513 0.7513 0.7461  3 Dy 3.55, 6 Tb 3.59, 3 Nd 3.62
3 Tb 0.2487 0.2487 0.2539  3 Dy 3.55, 6 Tb 3.59, 3 Nd 3.62
4 Dy 0.5000 0.5000 0.5000  6 Tb 3.55, 6 Dy 3.59

Polymorph energy (0 for the lowest one) = 0.1 kJ/mol of atoms
Space group = No. 166



(4)
# TbNd4Dy4

A relaxed structure of TbNd4Dy4 (PBE, Alexandria via LeMat-Bulk).

a b c (Å): 5.6439 8.9496 9.0009
angles (deg): 44.80 71.72 71.60
Last column: nearest neighbours and their distance in Å.
Element x y z (fractional)
1 Tb 0.5000 0.0000 0.0000  6 Nd 3.45-3.70, 6 Dy 3.62-3.69
2 Nd 0.2812 0.1517 0.2860  2 Dy 3.38-3.61, 1 Tb 3.45, 3 Nd 3.53-3.54
3 Nd 0.7188 0.8483 0.7140  2 Dy 3.38-3.61, 1 Tb 3.45, 3 Nd 3.53-3.54
4 Nd 0.8669 0.3076 0.9590  5 Dy 3.34-3.70, 3 Nd 3.53-3.54, 2 Tb 3.70
5 Nd 0.1331 0.6924 0.0410  5 Dy 3.34-3.70, 3 Nd 3.53-3.54, 2 Tb 3.70
6 Dy 0.6244 0.4262 0.3247  2 Dy 3.39, 3 Nd 3.39-3.61, 1 Tb 3.62
7 Dy 0.9278 0.7683 0.3763  4 Nd 3.34-3.70, 3 Dy 3.39-3.49, 2 Tb 3.69
8 Dy 0.3756 0.5738 0.6753  2 Dy 3.39, 3 Nd 3.39-3.61, 1 Tb 3.62
9 Dy 0.0722 0.2317 0.6237  4 Nd 3.34-3.70, 3 Dy 3.39-3.49, 2 Tb 3.69

Polymorph energy (0 for the lowest one) = 8.4 kJ/mol of atoms
Space group = No. 12



| no. | formation enthalpy at 0 K (eV/atom) |
| --- | --- |
| 1 | 0.02 |
| 2 | 0.28 |
| 3 | 0.02 |
| 4 | 0.10 |